A relaxed Nd2SnAu crystal. Source: OQMD via LeMat-Bulk, functional PBE.

Unit cell a=4.5865 b=6.1932 c=6.1932 alpha=40.40 beta=90.00 gamma=90.00
Sites, in units of the cell vectors:
Au1 0.0000 0.9137 0.9137
Nd1 0.5000 0.3617 0.3617
Nd2 0.0000 0.6422 0.6422
Sn1 0.5000 0.0824 0.0824

Calculated values
- crystal system = orthorhombic
- VASP energy (eV per formula unit) = -19.83
- spin magnetization (μB per formula unit) = 0.01